# NiTeP2O9

A PBEsol-optimized structure of NiTeP2O9 (SCAN, Alexandria via LeMat-Bulk).

a = 6.3310 Å, b = 7.8160 Å, c = 13.7895 Å
α = 90.00°, β = 90.00°, γ = 90.00°
Site moments in Bohr magnetons follow the coordinates.
Element x y z (fractional)
1 O 0.4538 0.4543 0.6369  0.03
2 O 0.4391 0.6459 0.1258  0.01
3 O 0.2500 0.2416 0.7470  0.01
4 O 0.2500 0.8244 0.9969  0.07
5 O 0.2500 0.9642 0.2922  0.01
6 O 0.0609 0.6459 0.1258  0.01
7 O 0.7500 0.7416 0.7530  0.01
8 O 0.0461 0.0457 0.1369  0.03
9 O 0.7500 0.9955 0.5084  0.01
10 O 0.2500 0.2584 0.2470  0.01
11 O 0.9391 0.3541 0.8742  0.01
12 O 0.7500 0.3244 0.5031  0.07
13 O 0.5609 0.1459 0.3742  0.01
14 O 0.0609 0.8541 0.6258  0.01
15 O 0.9538 0.9543 0.8631  0.03
16 O 0.7500 0.8488 0.0353  0.06
17 O 0.7500 0.7584 0.2530  0.01
18 O 0.4538 0.0457 0.1369  0.03
19 O 0.7500 0.1756 0.0031  0.07
20 O 0.5462 0.5457 0.3631  0.03
21 O 0.7500 0.4642 0.2078  0.01
22 O 0.9538 0.5457 0.3631  0.03
23 O 0.2500 0.4955 0.9916  0.01
24 O 0.7500 0.5045 0.0084  0.01
25 O 0.4391 0.8541 0.6258  0.01
26 O 0.7500 0.0358 0.7078  0.01
27 O 0.0461 0.4543 0.6369  0.03
28 O 0.9391 0.1459 0.3742  0.01
29 O 0.7500 0.6512 0.5353  0.06
30 O 0.2500 0.0045 0.4916  0.01
31 O 0.2500 0.5358 0.7922  0.01
32 O 0.5609 0.3541 0.8742  0.01
33 O 0.2500 0.1512 0.9647  0.06
34 O 0.2500 0.3488 0.4647  0.06
35 O 0.5462 0.9543 0.8631  0.03
36 O 0.2500 0.6756 0.4969  0.07
37 Ni 0.0000 0.5000 0.5000  1.68
38 Ni 0.0000 0.0000 0.0000  1.68
39 Ni 0.5000 0.0000 0.0000  1.68
40 Ni 0.5000 0.5000 0.5000  1.68
41 P 0.7500 0.9263 0.8092  0.01
42 P 0.2500 0.4263 0.6908  0.01
43 P 0.7500 0.5737 0.3092  0.01
44 P 0.2500 0.0737 0.1908  0.01
45 P 0.7500 0.3409 0.9457  0.01
46 P 0.2500 0.6591 0.0543  0.01
47 P 0.7500 0.1591 0.4457  0.01
48 P 0.2500 0.8409 0.5543  0.01
49 Te 0.2500 0.1623 0.3788  0.02
50 Te 0.7500 0.8377 0.6212  0.02
51 Te 0.2500 0.3377 0.8788  0.02
52 Te 0.7500 0.6623 0.1212  0.02

Computed properties:
uncorrected formation energy = -1.75 eV/atom
ρ = 3.82 g/cm³
space group = No. 62